No. 1
VASP calculation (PBE-GGA) on crystalline Pr2HoAl4Pd3 at its relaxed geometry.

a = 4.3038 Å, b = 4.3038 Å, c = 11.6270 Å
α = 90.00°, β = 90.00°, γ = 90.00°
Element x y z (fractional)
Pr 0.0000 0.5000 0.2281
Pr 0.5000 0.0000 0.7719
Ho 0.0000 0.0000 0.5000
Al 0.0000 0.0000 0.0000
Al 0.0000 0.5000 0.6705
Al 0.5000 0.0000 0.3295
Al 0.5000 0.5000 0.0000
Pd 0.0000 0.5000 0.8829
Pd 0.5000 0.0000 0.1171
Pd 0.5000 0.5000 0.5000

Properties
* density of states at the Fermi level: 1.13 states/eV per atom
* space group: P-4m2
* formation enthalpy at 0 K: -65.9 kJ/mol of atoms
* volume: 21.537 Å³ per atom
* size of the total moment: 0.00 μB per formula unit
* calculated total energy: -0.189 Ha/atom

No. 2
VASP calculation (PBE-GGA) on crystalline MgSbO3 at its relaxed geometry.

a = 5.4648 Å, b = 5.5773 Å, c = 9.6623 Å
α = 90.00°, β = 124.09°, γ = 90.00°
Element x y z (fractional)
Mg 0.2339 0.0264 0.2207
Mg 0.2339 0.4736 0.7207
Mg 0.7661 0.5264 0.2793
Mg 0.7661 0.9736 0.7793
Sb 0.0000 0.0000 0.5000
Sb 0.0000 0.5000 0.0000
Sb 0.5000 0.0000 0.0000
Sb 0.5000 0.5000 0.5000
O 0.1388 0.1523 0.9629
O 0.1388 0.3477 0.4629
O 0.2425 0.7024 0.8937
O 0.2425 0.7976 0.3937
O 0.4096 0.1219 0.7764
O 0.4096 0.3781 0.2764
O 0.5904 0.6219 0.7236
O 0.5904 0.8781 0.2236
O 0.7575 0.2024 0.6063
O 0.7575 0.2976 0.1063
O 0.8612 0.6523 0.5371
O 0.8612 0.8477 0.0371

Properties
* density of states at the Fermi level: 0.00 states/eV per atom
* space group: P2_1/c
* volume: 12.194 Å³ per atom
* size of the total moment: 0.00 μB per formula unit
* ΔE_f (raw): -1.8121 eV/atom
* calculated total energy: -0.218 Ha/atom

No. 3
VASP calculation (PBE-GGA) on crystalline Re2PbCl at its relaxed geometry.

a = 2.9898 Å, b = 4.5312 Å, c = 6.2676 Å
α = 90.00°, β = 90.00°, γ = 90.00°
Element x y z (fractional)
Re 0.0000 0.0000 0.0000
Re 0.5000 0.5000 0.0000
Pb 0.0000 0.5000 0.5000
Cl 0.5000 0.0000 0.5000

Properties
* energy above the lowest structure with this stoichiometry: 1013.2 meV/atom
* density of states at the Fermi level: 0.76 states/eV per atom
* space group: Pmmm
* volume: 21.227 Å³ per atom
* size of the total moment: 1.05 μB per formula unit
* ΔE_f (raw): 1.1513 eV/atom
* calculated total energy: -0.237 Ha/atom

No. 4
VASP calculation (PBE-GGA) on crystalline Li2Ag3Cl8 at its relaxed geometry.

a = 7.7805 Å, b = 7.7805 Å, c = 7.5765 Å
α = 117.79°, β = 117.79°, γ = 55.25°
Element x y z (fractional)
Li 0.1613 0.1613 0.2158
Li 0.8387 0.8387 0.7842
Ag 0.2453 0.7547 0.5000
Ag 0.5000 0.5000 0.0000
Ag 0.7547 0.2453 0.5000
Cl 0.1317 0.1317 0.5051
Cl 0.1436 0.6198 0.0121
Cl 0.3694 0.3694 0.4883
Cl 0.3802 0.8564 0.9879
Cl 0.6198 0.1436 0.0121
Cl 0.6306 0.6306 0.5117
Cl 0.8564 0.3802 0.9879
Cl 0.8683 0.8683 0.4949

Properties
* density of states at the Fermi level: 0.70 states/eV per atom
* space group: C2/m
* volume: 24.650 Å³ per atom
* size of the total moment: 0.00 μB per formula unit
* ΔE_f (raw): -0.7557 eV/atom
* calculated total energy: -0.105 Ha/atom

No. 5
VASP calculation (PBE-GGA) on crystalline LiYPu at its relaxed geometry.

a = 3.3409 Å, b = 3.3409 Å, c = 14.4501 Å
α = 90.00°, β = 90.00°, γ = 90.00°
Element x y z (fractional)
Li 0.0000 0.0000 0.0000
Li 0.5000 0.5000 0.5000
Y 0.0000 0.0000 0.6635
Y 0.5000 0.5000 0.1635
Pu 0.0000 0.0000 0.3416
Pu 0.5000 0.5000 0.8416

Properties
* energy above the lowest structure with this stoichiometry: 69.6 meV/atom
* density of states at the Fermi level: 2.97 states/eV per atom
* space group: I4mm
* formation enthalpy at 0 K: 24.4 kJ/mol of atoms
* volume: 26.881 Å³ per atom
* size of the total moment: 6.09 μB per formula unit
* calculated total energy: -0.269 Ha/atom

No. 6
VASP calculation (PBE-GGA) on crystalline LiLaRe2 at its relaxed geometry.

a = 6.5991 Å, b = 6.5991 Å, c = 6.5991 Å
α = 90.00°, β = 90.00°, γ = 90.00°
Element x y z (fractional)
Li 0.0000 0.0000 0.0000
Li 0.0000 0.5000 0.5000
Li 0.5000 0.0000 0.5000
Li 0.5000 0.5000 0.0000
La 0.2500 0.2500 0.7500
La 0.2500 0.7500 0.2500
La 0.7500 0.2500 0.2500
La 0.7500 0.7500 0.7500
Re 0.0000 0.0000 0.5000
Re 0.0000 0.5000 0.0000
Re 0.2500 0.2500 0.2500
Re 0.2500 0.7500 0.7500
Re 0.5000 0.0000 0.0000
Re 0.5000 0.5000 0.5000
Re 0.7500 0.2500 0.7500
Re 0.7500 0.7500 0.2500

Properties
* energy above the lowest structure with this stoichiometry: 272.4 meV/atom
* density of states at the Fermi level: 0.74 states/eV per atom
* space group: F-43m
* formation enthalpy at 0 K: 49.1 kJ/mol of atoms
* volume: 17.961 Å³ per atom
* size of the total moment: 0.01 μB per formula unit
* calculated total energy: -0.273 Ha/atom

No. 7
VASP calculation (PBE-GGA) on crystalline Ac3SbP2 at its relaxed geometry.

a = 7.9746 Å, b = 7.9746 Å, c = 10.8911 Å
α = 90.00°, β = 90.00°, γ = 143.66°
Element x y z (fractional)
Ac 0.0944 0.9056 0.7500
Ac 0.3791 0.6209 0.5600
Ac 0.3791 0.6209 0.9400
Ac 0.6209 0.3791 0.0600
Ac 0.6209 0.3791 0.4400
Ac 0.9056 0.0944 0.2500
Sb 0.2339 0.7661 0.2500
Sb 0.7661 0.2339 0.7500
P 0.0000 0.0000 0.0000
P 0.0000 0.0000 0.5000
P 0.4939 0.5061 0.2500
P 0.5061 0.4939 0.7500

Properties
* space group: Cmcm
* volume: 34.201 Å³ per atom
* size of the total moment: 0.00 μB per formula unit
* ΔE_f (raw): -1.0637 eV/atom
* calculated total energy: -0.206 Ha/atom

No. 8
VASP calculation (PBE-GGA) on crystalline Pm3Sm3MgTe8 at its relaxed geometry.

a = 8.8852 Å, b = 8.8852 Å, c = 8.8852 Å
α = 59.93°, β = 59.93°, γ = 59.93°
Element x y z (fractional)
Pm 0.0000 0.5000 0.5000
Pm 0.5000 0.0000 0.5000
Pm 0.5000 0.5000 0.0000
Sm 0.0000 0.0000 0.5000
Sm 0.0000 0.5000 0.0000
Sm 0.5000 0.0000 0.0000
Mg 0.5000 0.5000 0.5000
Te 0.2494 0.2494 0.2494
Te 0.2558 0.7431 0.7431
Te 0.2569 0.2569 0.7442
Te 0.2569 0.7442 0.2569
Te 0.7431 0.2558 0.7431
Te 0.7431 0.7431 0.2558
Te 0.7442 0.2569 0.2569
Te 0.7506 0.7506 0.7506

Properties
* density of states at the Fermi level: 0.30 states/eV per atom
* space group: R-3m
* volume: 33.017 Å³ per atom
* size of the total moment: 0.00 μB per formula unit
* ΔE_f (raw): -1.3465 eV/atom
* calculated total energy: -0.185 Ha/atom

No. 9
VASP calculation (PBE-GGA) on crystalline RuPbBr2 at its relaxed geometry.

a = 4.3377 Å, b = 4.3377 Å, c = 10.5533 Å
α = 90.00°, β = 90.00°, γ = 90.00°
Element x y z (fractional)
Ru 0.0000 0.0000 0.0000
Ru 0.5000 0.5000 0.5000
Pb 0.0000 0.5000 0.2500
Pb 0.5000 0.0000 0.7500
Br 0.0000 0.0000 0.5000
Br 0.0000 0.5000 0.7500
Br 0.5000 0.0000 0.2500
Br 0.5000 0.5000 0.0000

Properties
* energy above the lowest structure with this stoichiometry: 569.8 meV/atom
* density of states at the Fermi level: 1.20 states/eV per atom
* space group: I-4m2
* volume: 24.821 Å³ per atom
* size of the total moment: 2.02 μB per formula unit
* ΔE_f (raw): 0.5531 eV/atom
* calculated total energy: -0.130 Ha/atom

No. 10
VASP calculation (PBE-GGA) on crystalline CoHgSCl2 at its relaxed geometry.

a = 4.7285 Å, b = 4.7285 Å, c = 4.4823 Å
α = 90.00°, β = 90.00°, γ = 90.00°
Element x y z (fractional)
Co 0.0000 0.0000 0.0000
Hg 0.5000 0.5000 0.5000
S 0.0000 0.0000 0.5000
Cl 0.0000 0.5000 0.0000
Cl 0.5000 0.0000 0.0000

Properties
* energy above the lowest structure with this stoichiometry: 0.0 meV/atom
* density of states at the Fermi level: 0.92 states/eV per atom
* space group: P4/mmm
* volume: 20.044 Å³ per atom
* size of the total moment: 1.38 μB per formula unit
* ΔE_f (raw): -0.0166 eV/atom
* calculated total energy: -0.113 Ha/atom

No. 11
VASP calculation (PBE-GGA) on crystalline TbEr2ThN4 at its relaxed geometry.

a = 6.0718 Å, b = 3.5162 Å, c = 6.0720 Å
α = 90.00°, β = 109.33°, γ = 90.00°
Element x y z (fractional)
Tb 0.0000 0.0000 0.0000
Er 0.0000 0.5000 0.5000
Er 0.5000 0.0000 0.5000
Th 0.5000 0.5000 0.0000
N 0.2471 0.0000 0.7434
N 0.2524 0.5000 0.2541
N 0.7476 0.5000 0.7459
N 0.7529 0.0000 0.2566

Properties
* density of states at the Fermi level: 0.21 states/eV per atom
* space group: P2/m
* volume: 15.291 Å³ per atom
* size of the total moment: 0.00 μB per formula unit
* ΔE_f (raw): -1.6926 eV/atom
* calculated total energy: -0.312 Ha/atom